Compound: Ho2TmSn9
Source: the Alexandria database
Functional: PBE
Structure: relaxed

## Properties
M_tot, μB/atom: 0.000
Electronic total energy, eV per atom: -4.53
Crystal system: tetragonal
Space-group type: P4/mmm (123)
Fermi-level density of states, states/eV/f.u.: 4.9

The structure in POSCAR format:
```
Ho2TmSn9
1.0
4.783 0.000 0.000
0.000 4.783 0.000
0.000 0.000 13.638
Ho Tm Sn
2 1 9
Direct
0.000 0.000 0.167 Ho
0.000 0.000 0.833 Ho
0.000 0.000 0.500 Tm
0.000 0.500 0.000 Sn
0.000 0.500 0.334 Sn
0.000 0.500 0.666 Sn
0.500 0.000 0.000 Sn
0.500 0.000 0.334 Sn
0.500 0.000 0.666 Sn
0.500 0.500 0.167 Sn
0.500 0.500 0.500 Sn
0.500 0.500 0.833 Sn
```